Entry 1:
10
Lattice="-5.065 5.065 3.192 5.065 -5.065 3.192 5.065 5.065 -3.192" Properties=species:S:1:pos:R:3 comment="Nd5InSb4 | the Alexandria database | PBE | optimized geometry" total_magnetization_mub_per_cell=0.0 formation_energy_uncorrected_mev_per_atom=-974 pbc="T T T"
Nd 0.000 0.000 0.000
Nd 6.123 1.940 0.000
Nd 1.940 4.008 0.000
Nd 3.126 1.057 3.192
Nd -1.057 3.126 3.192
In 0.000 0.000 3.192
Sb 3.029 1.022 0.000
Sb 4.043 -2.036 3.192
Sb 1.022 7.101 0.000
Sb 2.036 4.043 3.192



Entry 2:
5
Lattice="5.119 0.000 0.000 0.000 5.119 0.000 0.000 0.000 4.519" Properties=species:S:1:pos:R:3 comment="Y2GaCoAg | the Alexandria database | PBE | optimized geometry" total_magnetization_mub_per_cell=0.0 formation_energy_mev_per_atom=-214 pbc="T T T"
Y 0.000 2.560 0.000
Y 2.560 0.000 0.000
Ga 0.000 0.000 2.260
Co 0.000 0.000 0.000
Ag 2.560 2.560 2.260



Entry 3:
6
Lattice="0.000 4.561 4.561 4.561 0.000 4.561 4.561 4.561 0.000" Properties=species:S:1:pos:R:3 comment="AcCe4Pm | the Alexandria database | PBE | optimized geometry" total_magnetization_mub_per_cell=4.0 formation_energy_mev_per_atom=195 pbc="T T T"
Ac 0.000 0.000 0.000
Ce 3.466 3.466 3.466
Ce 5.657 5.657 3.466
Ce 5.657 3.466 5.657
Ce 3.466 5.657 5.657
Pm 6.842 6.842 6.842



Entry 4:
12
Lattice="4.733 -6.538 0.000 4.733 6.538 0.000 -2.040 0.000 3.897" Properties=species:S:1:pos:R:3 comment="HoCd5Ag6 | the Alexandria database | PBE | optimized geometry" total_magnetization_mub_per_cell=0.0 formation_energy_mev_per_atom=-92 polymorph_energy_ev_per_fu=0.07 pbc="T T T"
Ho 0.000 0.000 0.000
Cd 3.713 4.330 1.949
Cd 4.733 2.227 0.000
Cd 3.713 0.000 1.949
Cd 4.733 -2.227 0.000
Cd 3.713 -4.330 1.949
Ag 1.897 2.173 0.991
Ag 0.889 0.000 2.944
Ag 1.897 -2.173 0.991
Ag 5.530 2.173 2.906
Ag 6.537 0.000 0.954
Ag 5.530 -2.173 2.906



Entry 5:
5
Lattice="5.278 -1.365 0.000 5.278 1.365 0.000 -0.516 0.000 5.056" Properties=species:S:1:pos:R:3 comment="AsHIrOsAu | the Alexandria database | PBE | optimized geometry" total_magnetization_mub_per_cell=0.0 polymorph_energy_ev_per_fu=0.30 pbc="T T T"
As 0.000 0.000 0.000
H 0.302 0.000 2.787
Ir 9.278 0.000 1.997
Os 1.790 0.000 1.825
Au 7.333 0.000 4.336



Entry 6:
20
Lattice="4.672 -7.672 0.000 4.672 7.672 0.000 -1.353 0.000 9.666" Properties=species:S:1:pos:R:3 comment="TbPmPr6Tm2 | the Alexandria database | PBE | optimized geometry" total_magnetization_mub_per_cell=0.0 formation_energy_mev_per_atom=113 pbc="T T T"
Tb 3.658 7.209 7.249
Tb 4.334 -7.209 2.416
Pm 4.334 1.404 2.416
Pm 3.658 -1.404 7.249
Pr 1.756 4.241 6.623
Pr 3.996 5.001 0.529
Pr 4.673 5.001 4.304
Pr 2.580 1.653 8.516
Pr 5.560 4.241 7.876
Pr 4.736 1.653 5.983
Pr 3.257 -1.653 3.683
Pr 2.432 -4.241 1.790
Pr 5.412 -1.653 1.150
Pr 3.319 -5.001 5.362
Pr 3.997 -5.001 9.137
Pr 6.236 -4.241 3.043
Tm 1.545 0.725 5.295
Tm 2.221 -0.725 0.462
Tm 5.771 0.725 9.204
Tm 6.448 -0.725 4.371



Entry 7:
11
Lattice="8.617 -1.355 0.000 8.617 1.355 0.000 -0.097 0.000 6.864" Properties=species:S:1:pos:R:3 comment="Co2Pt4Rh5 | the Alexandria database | PBE | optimized geometry" total_magnetization_mub_per_cell=5.7 formation_energy_mev_per_atom=54 pbc="T T T"
Co 0.914 0.000 2.558
Co 16.223 0.000 4.306
Pt 4.557 0.000 1.215
Pt 7.334 0.000 1.999
Pt 9.803 0.000 4.864
Pt 12.580 0.000 5.648
Rh 0.000 0.000 0.000
Rh 5.393 0.000 3.767
Rh 6.350 0.000 6.202
Rh 10.787 0.000 0.661
Rh 11.744 0.000 3.097



Entry 8:
4
Lattice="3.754 0.000 0.000 0.000 3.754 0.000 0.000 0.000 4.398" Properties=species:S:1:pos:R:3 comment="SiAg2Ru | the Alexandria database | PBE | optimized geometry" total_magnetization_mub_per_cell=0.0 formation_energy_uncorrected_mev_per_atom=226 pbc="T T T"
Si 0.000 0.000 0.000
Ag 0.000 1.877 2.199
Ag 1.877 0.000 2.199
Ru 1.877 1.877 0.000



| no. | E_tot (eV/atom) | V (Å³/cell) |
| --- | --- | --- |
| 1 | -5.28 | 327.57 |
| 2 | -5.40 | 118.45 |
| 3 | -5.24 | 189.82 |
| 4 | -2.28 | 241.19 |
| 5 | -5.94 | 72.88 |
| 6 | -4.59 | 692.92 |
| 7 | -6.78 | 160.33 |
| 8 | -4.87 | 61.99 |